This record from Alexandria describes crystalline CrCo3 at its relaxed geometry. The functional is PBE-GGA.

Unit cell a=4.9960 b=4.9960 c=3.9695 alpha=90.00 beta=90.00 gamma=120.00
With the nearest neighbours (Å) after each atom.
Space group P6_3/mmc (No. 194)
Unique sites:
1 Cr 0.3333 0.6667 0.2500 x2  12 Co 2.46-2.50
2 Co 0.1654 0.3308 0.7500 x6  8 Co 2.45-2.52, 4 Cr 2.46-2.50

Properties
**Distance to the lowest polymorph of the same formula**: 0.000 eV/atom
**Size of the total moment**: 0.924 μB/f.u.
**Formation energy from the elements**: -5.3 meV/atom
**Electronic total energy**: -7.741 eV/atom

---

This record from Alexandria describes crystalline BeInCl2 at its relaxed geometry. The functional is PBE-GGA.

Unit cell a=3.0297 b=7.6157 c=9.9764 alpha=90.00 beta=90.00 gamma=90.00
With the nearest neighbours (Å) after each atom.
Space group Immm (No. 71)
Unique sites:
1 Be 0.0000 0.0000 0.0000 x2  4 Cl 2.11
2 In 0.0000 0.0000 0.5000 x2  2 In 3.03
3 Cl 0.0000 0.5000 0.3523 x4  2 Be 2.11

Properties
**Distance to the lowest polymorph of the same formula**: 0.201 eV/atom
**Size of the total moment**: 0.000 μB/f.u.
**Electronic total energy**: -3.085 eV/atom
**Raw formation energy**: -546 meV per atom

---

This record from Alexandria describes crystalline HoTm3In2 at its relaxed geometry. The functional is PBE-GGA.

Unit cell a=10.8203 b=3.5959 c=16.9865 alpha=90.00 beta=90.00 gamma=90.00
With the nearest neighbours (Å) after each atom.
Space group Pnma (No. 62)
Unique sites:
1 Ho 0.0045 0.2500 0.0912 x4  4 In 3.26-3.27, 4 Tm 3.39-3.56, 4 Ho 3.58-3.60
2 Tm 0.0033 0.7500 0.5891 x4  4 In 3.24, 8 Tm 3.37-3.60
3 Tm 0.2479 0.2500 0.2773 x4  6 In 3.24-3.29, 5 Tm 3.54-3.60, 1 Ho 3.56
4 Tm 0.2502 0.2500 0.9573 x4  2 In 3.27, 7 Tm 3.37-3.60, 3 Ho 3.39-3.50
5 In 0.0032 0.2500 0.7481 x4  6 Tm 3.24-3.29, 2 Ho 3.27, 4 In 3.44-3.60
6 In 0.2479 0.2500 0.6184 x4  6 Tm 3.24-3.27, 2 Ho 3.26, 4 In 3.44-3.60

Properties
**Distance to the lowest polymorph of the same formula**: 0.000 eV/atom
**Size of the total moment**: 0.000 μB/f.u.
**Formation energy from the elements**: -312.0 meV/atom
**Electronic total energy**: -4.224 eV/atom

---

This record from Alexandria describes crystalline HfSb2ICl at its relaxed geometry. The functional is PBE-GGA.

Unit cell a=5.0497 b=5.0497 c=6.0815 alpha=90.00 beta=90.00 gamma=90.00
With the nearest neighbours (Å) after each atom.
Space group P4/mmm (No. 123)
Unique sites:
1 Hf 0.0000 0.0000 0.0000 x1  4 I 3.57, 8 Sb 3.95
2 Sb 0.0000 0.5000 0.5000 x2  2 Cl 2.52
3 I 0.5000 0.5000 0.0000 x1  2 Cl 3.04
4 Cl 0.5000 0.5000 0.5000 x1  4 Sb 2.52

Properties
**Distance to the lowest polymorph of the same formula**: 0.852 eV/atom
**Size of the total moment**: 0.000 μB/f.u.
**Electronic total energy**: -3.442 eV/atom
**Raw formation energy**: 877 meV per atom

---

This record from Alexandria describes crystalline Sc3As at its relaxed geometry. The functional is PBE-GGA.

Unit cell a=6.1331 b=6.1331 c=4.9356 alpha=90.00 beta=90.00 gamma=120.00
With the nearest neighbours (Å) after each atom.
Space group P6_3/mmc (No. 194)
Unique sites:
1 Sc 0.1714 0.3428 0.2500 x6  8 Sc 2.98-3.15, 4 As 3.01-3.07
2 As 0.3333 0.6667 0.7500 x2  12 Sc 3.01-3.07

Properties
**Size of the total moment**: 1.055 μB/f.u.
**Formation energy from the elements**: -494.5 meV/atom
**Electronic total energy**: -6.405 eV/atom

---

This record from Alexandria describes crystalline LiCaPt2 at its relaxed geometry. The functional is PBE-GGA.

Unit cell a=2.9895 b=3.8070 c=6.0999 alpha=90.00 beta=90.77 gamma=90.00
With the nearest neighbours (Å) after each atom.
Space group P2/m (No. 10)
Unique sites:
1 Li 0.0000 0.0000 0.0000 x1  8 Pt 2.75-2.79, 2 Li 2.99, 2 Ca 3.05
2 Ca 0.0000 0.0000 0.5000 x1  8 Pt 2.95-2.96, 2 Ca 2.99, 2 Li 3.05
3 Pt 0.4951 0.5000 0.2217 x2  3 Pt 2.70-2.99, 4 Li 2.75-2.79, 4 Ca 2.95-2.96

Properties
**Distance to the lowest polymorph of the same formula**: 0.017 eV/atom
**Size of the total moment**: 0.000 μB/f.u.
**Formation energy from the elements**: -643.3 meV/atom
**Electronic total energy**: -4.643 eV/atom

---

This record from Alexandria describes crystalline SrCuAgF6 at its relaxed geometry. The functional is PBE-GGA.

Unit cell a=5.8881 b=5.8881 c=8.9423 alpha=90.00 beta=90.00 gamma=120.00
With the nearest neighbours (Å) after each atom.
Space group P-31c (No. 163)
Unique sites:
1 Sr 0.3333 0.6667 0.2500 x2  6 F 2.45
2 Cu 0.3333 0.6667 0.7500 x2  6 F 1.97
3 Ag 0.0000 0.0000 0.0000 x2  6 F 2.38
4 F 0.0614 0.3802 0.6283 x12  1 Cu 1.97

Properties
**Size of the total moment**: 1.912 μB/f.u.
**Electronic total energy**: -4.366 eV/atom
**Raw formation energy**: -2160 meV per atom

---

This record from Alexandria describes crystalline Tb3Sm2Y4 at its relaxed geometry. The functional is PBE-GGA.

Unit cell a=16.4111 b=11.6325 c=6.1515 alpha=90.00 beta=96.00 gamma=90.00
With the nearest neighbours (Å) after each atom.
Space group C2/c (No. 15)
Unique sites:
1 Tb 0.0000 0.0950 0.2500 x4  4 Sm 3.42-3.50, 4 Y 3.52-3.53, 2 Tb 3.79
2 Tb 0.1657 0.4021 0.0905 x8  6 Y 3.37-3.54, 2 Sm 3.47-3.52
3 Sm 0.1215 0.1437 0.8234 x8  4 Y 3.30-3.60, 4 Tb 3.42-3.52
4 Y 0.0465 0.3588 0.5146 x8  1 Sm 3.30, 4 Tb 3.40-3.52, 3 Y 3.41-3.62
5 Y 0.2139 0.1373 0.3494 x8  1 Y 3.36, 4 Tb 3.37-3.54, 3 Sm 3.43-3.60

Properties
**Distance to the lowest polymorph of the same formula**: 0.012 eV/atom
**Size of the total moment**: 0.000 μB/f.u.
**Formation energy from the elements**: 94.0 meV/atom
**Electronic total energy**: -5.371 eV/atom

---

This record from Alexandria describes crystalline Li2ZrCr at its relaxed geometry. The functional is PBE-GGA.

Unit cell a=2.9544 b=5.1814 c=4.6548 alpha=90.00 beta=95.20 gamma=90.00
With the nearest neighbours (Å) after each atom.
Space group P2/m (No. 10)
Unique sites:
1 Li 0.2139 0.0000 0.2663 x2  3 Li 2.61-2.68, 2 Cr 2.90
2 Zr 0.5000 0.5000 0.0000 x1  4 Cr 2.64-2.87, 2 Zr 2.95
3 Cr 0.0000 0.5000 0.5000 x1  4 Zr 2.64-2.87, 4 Li 2.90, 2 Cr 2.95

Properties
**Distance to the lowest polymorph of the same formula**: 0.097 eV/atom
**Size of the total moment**: 2.237 μB/f.u.
**Formation energy from the elements**: 409.2 meV/atom
**Electronic total energy**: -5.091 eV/atom

---

This record from Alexandria describes crystalline BiP3Ru at its relaxed geometry. The functional is PBE-GGA.

Unit cell a=4.6534 b=4.6534 c=4.6534 alpha=90.00 beta=90.00 gamma=90.00
With the nearest neighbours (Å) after each atom.
Space group Pm-3m (No. 221)
Unique sites:
1 Bi 0.0000 0.0000 0.0000 x1  12 P 3.29
2 P 0.0000 0.5000 0.5000 x3  2 Ru 2.33
3 Ru 0.5000 0.5000 0.5000 x1  6 P 2.33

Properties
**Distance to the lowest polymorph of the same formula**: 0.000 eV/atom
**Size of the total moment**: 0.000 μB/f.u.
**Formation energy from the elements**: 496.4 meV/atom
**Electronic total energy**: -5.381 eV/atom